1.
Compound: LiTcBr
Source: Alexandria
Functional: PBE
Structure: relaxed

Output
Energy relative to the lowest polymorph listed for this composition   135.2 meV/atom
Volume   50.4 Å³ per cell

a = 4.3625 Å, b = 4.3625 Å, c = 3.0555 Å
α = 90.00°, β = 90.00°, γ = 120.00°
Last column: nearest neighbours and their distance in Å.
Space group P3m1 (No. 156)
Unique sites:
Li1 0.0000 0.0000 0.0000 (multiplicity 1)  6 Br 2.94-2.95, 6 Tc 2.94-2.95, 2 Li 3.06
Tc1 0.6667 0.3333 0.5012 (multiplicity 1)  3 Br 2.52
Br1 0.3333 0.6667 0.5017 (multiplicity 1)  3 Tc 2.52

=====

2.
Compound: ScBi3O6
Source: Alexandria
Functional: PBE
Structure: relaxed

Output
Energy relative to the lowest polymorph listed for this composition   23.3 meV/atom
Volume   299.6 Å³ per cell

a = 5.7397 Å, b = 6.2252 Å, c = 10.1033 Å
α = 90.00°, β = 123.90°, γ = 90.00°
Last column: nearest neighbours and their distance in Å.
Space group P2_1/c (No. 14)
Unique sites:
Sc1 0.0000 0.0000 0.0000 (multiplicity 2)  6 O 2.15-2.16
Bi1 0.2681 0.0366 0.7569 (multiplicity 4)  3 O 2.21-2.27
Bi2 0.5000 0.0000 0.5000 (multiplicity 2)  6 O 2.38-2.42
O1 0.0934 0.0601 0.2348 (multiplicity 4)  1 Sc 2.15, 2 Bi 2.21-2.41
O2 0.2270 0.7004 0.0740 (multiplicity 4)  1 Sc 2.16, 1 Bi 2.27
O3 0.3748 0.1648 0.0559 (multiplicity 4)  1 Sc 2.15, 2 Bi 2.24-2.38

=====

3.
Compound: NaTl2HgSb
Source: Alexandria
Functional: PBE
Structure: relaxed

Output
Volume   189.8 Å³ per cell

a = 4.5613 Å, b = 4.5613 Å, c = 9.1245 Å
α = 90.00°, β = 90.00°, γ = 90.00°
Last column: nearest neighbours and their distance in Å.
Space group P4mm (No. 99)
Unique sites:
Na1 0.0000 0.0000 0.0000 (multiplicity 1)  1 Hg 3.09, 4 Sb 3.32
Tl1 0.0000 0.5000 0.3413 (multiplicity 2)  4 Tl 3.23, 2 Sb 3.27
Hg1 0.0000 0.0000 0.6609 (multiplicity 1)  1 Na 3.09
Sb1 0.5000 0.5000 0.0842 (multiplicity 1)  4 Tl 3.27, 4 Na 3.32

=====

4.
Compound: Hg5Pb2Au4
Source: Alexandria
Functional: PBE
Structure: relaxed

Output
Volume   267.7 Å³ per cell
Calculated formation energy   0.02 eV/atom

a = 6.0885 Å, b = 6.2160 Å, c = 7.7794 Å
α = 104.09°, β = 93.01°, γ = 108.75°
Last column: nearest neighbours and their distance in Å.
Space group P-1 (No. 2)
Unique sites:
Hg1 0.0000 0.0000 0.0000 (multiplicity 1)  4 Au 2.89-2.91
Hg2 0.0085 0.7458 0.4722 (multiplicity 2)  4 Au 2.89-3.07, 3 Hg 3.12-3.16
Hg3 0.4475 0.1869 0.3969 (multiplicity 2)  4 Au 2.90-3.16, 1 Hg 3.12, 1 Pb 3.16
Pb1 0.2947 0.6358 0.9116 (multiplicity 2)  5 Au 3.00-3.34, 3 Hg 3.16-3.33
Au1 0.2365 0.4690 0.2424 (multiplicity 2)  5 Hg 2.89-3.16, 1 Au 2.93, 2 Pb 3.00-3.19
Au2 0.3317 0.1489 0.7634 (multiplicity 2)  5 Hg 2.89-3.02, 1 Au 2.93, 2 Pb 3.02-3.05

=====

5.
Compound: TmU3Tl4Te8
Source: Alexandria
Functional: PBE
Structure: relaxed

Output
Volume   1680.6 Å³ per cell

a = 8.8246 Å, b = 8.8246 Å, c = 24.9189 Å
α = 90.00°, β = 90.00°, γ = 120.00°
Last column: nearest neighbours and their distance in Å.
Space group R-3m (No. 166, hexagonal axes)
Unique sites:
Tm1 0.0000 0.0000 0.0000 (multiplicity 3)  6 Te 3.07
U1 0.0000 0.5000 0.0000 (multiplicity 9)  6 Te 3.12
Tl1 0.0000 0.0000 0.5000 (multiplicity 3)  6 Te 3.51
Tl2 0.0000 0.5000 0.5000 (multiplicity 9)  6 Te 3.46-3.47
Te1 0.0000 0.0000 0.2609 (multiplicity 6)  3 U 3.12, 3 Tl 3.46
Te2 0.0053 0.5027 0.7381 (multiplicity 18)  1 Tm 3.07, 2 U 3.12

=====

6.
Compound: Al3BiP
Source: Alexandria
Functional: PBE
Structure: relaxed

Output
Energy relative to the lowest polymorph listed for this composition   0.0 meV/atom
Volume   111.7 Å³ per cell
Calculated formation energy   0.24 eV/atom

a = 4.8158 Å, b = 4.8158 Å, c = 4.8158 Å
α = 90.00°, β = 90.00°, γ = 90.00°
Last column: nearest neighbours and their distance in Å.
Space group Pm-3m (No. 221)
Unique sites:
Al1 0.0000 0.0000 0.5000 (multiplicity 3)  2 P 2.41
Bi1 0.5000 0.5000 0.5000 (multiplicity 1)  12 Al 3.41
P1 0.0000 0.0000 0.0000 (multiplicity 1)  6 Al 2.41

=====

| no. | VASP energy (Ry per atom) |
| --- | --- |
| 1 | -0.304 |
| 2 | -0.479 |
| 3 | -0.155 |
| 4 | -0.145 |
| 5 | -0.382 |
| 6 | -0.284 |